Record 1
Material: LaMgP2Cl
Method: DFT, PBE
State: relaxed

relative energy among the computed polymorphs = 0 meV/atom
formation energy from raw total energies = -0.69 eV/atom

Unit cell a=4.814 b=4.814 c=4.923 alpha=90.00 beta=90.00 gamma=90.00
Space group P4/mmm (No. 123)
Inequivalent atoms, fractional coordinates:
La 0.000 0.000 0.000
Mg 0.500 0.500 0.500
P 0.000 0.500 0.500
Cl 0.500 0.500 0.000


Record 2
Material: HoErTh2
Method: DFT, PBE
State: relaxed

formation enthalpy at 0 K = 0.130 eV per atom
relative energy among the computed polymorphs = 100 meV/atom

Unit cell a=7.964 b=7.964 c=7.964 alpha=90.00 beta=90.00 gamma=90.00
Space group Fm-3m (No. 225)
Inequivalent atoms, fractional coordinates:
Ho 0.000 0.000 0.000
Er 0.000 0.000 0.500
Th 0.250 0.250 0.250


Record 3
Material: Sc2CuGe
Method: DFT, PBE
State: relaxed

formation enthalpy at 0 K = -0.511 eV per atom

Unit cell a=4.575 b=4.575 c=3.449 alpha=90.00 beta=90.00 gamma=90.00
Space group P4/mmm (No. 123)
Inequivalent atoms, fractional coordinates:
Sc 0.000 0.500 0.000
Cu 0.000 0.000 0.500
Ge 0.500 0.500 0.500


Record 4
Material: Ba2Hg2Au
Method: DFT, PBE
State: relaxed

formation enthalpy at 0 K = -0.567 eV per atom
relative energy among the computed polymorphs = 0 meV/atom

Unit cell a=12.407 b=4.739 c=13.216 alpha=90.00 beta=116.32 gamma=90.00
Space group C2/m (No. 12)
Inequivalent atoms, fractional coordinates:
Ba 0.046 0.000 0.355
Ba 0.192 0.000 0.115
Hg 0.023 0.500 0.883
Hg 0.137 0.500 0.581
Au 0.225 0.500 0.314


Record 5
Material: CeFeReP2
Method: DFT, PBE
State: relaxed

formation enthalpy at 0 K = -0.797 eV per atom

Unit cell a=4.026 b=4.026 c=9.811 alpha=90.00 beta=90.00 gamma=90.00
Space group I-4m2 (No. 119)
Inequivalent atoms, fractional coordinates:
Ce 0.000 0.000 0.000
Fe 0.000 0.500 0.250
Re 0.000 0.500 0.750
P 0.000 0.000 0.366


Record 6
Material: Ac8Ge3Te3Ir
Method: DFT, PBE
State: relaxed

formation energy from raw total energies = -1.00 eV/atom

Unit cell a=9.2155 b=9.2155 c=23.5217 alpha=90.00 beta=90.00 gamma=120.00
Space group R-3m (No. 166, hexagonal axes)
Inequivalent atoms, fractional coordinates:
Ac 0.0000 0.0000 0.2428
Ac 0.0149 0.5074 0.2366
Ge 0.0000 0.5000 0.5000
Te 0.0000 0.5000 0.0000
Ir 0.0000 0.0000 0.5000


Record 7
Material: MnIrBr2
Method: DFT, PBE
State: relaxed

relative energy among the computed polymorphs = 700 meV/atom
formation energy from raw total energies = 0.77 eV/atom

Unit cell a=6.540 b=6.548 c=3.442 alpha=90.00 beta=90.00 gamma=90.00
Space group Cmmm (No. 65)
Inequivalent atoms, fractional coordinates:
Mn 0.000 0.000 0.000
Ir 0.000 0.500 0.000
Br 0.250 0.250 0.500


Record 8
Material: Nd3Fe29
Method: DFT, PBE
State: relaxed

formation enthalpy at 0 K = 0.041 eV per atom

Unit cell a=9.711 b=8.565 c=10.479 alpha=90.00 beta=96.04 gamma=90.00
Space group C2/m (No. 12)
Inequivalent atoms, fractional coordinates:
Nd 0.000 0.000 0.000
Nd 0.187 0.000 0.600
Fe 0.000 0.360 0.000
Fe 0.000 0.500 0.500
Fe 0.020 0.500 0.253
Fe 0.063 0.252 0.404
Fe 0.092 0.225 0.804
Fe 0.096 0.000 0.292
Fe 0.155 0.253 0.198
Fe 0.185 0.354 0.624
Fe 0.208 0.500 0.860
Fe 0.219 0.500 0.106
Fe 0.250 0.250 0.000


no.,total moment (μB per cell)
1,0.00
2,0.00
3,0.00
4,0.00
5,0.40
6,0.81
7,9.16
8,131.24